Crystalline HoCoH3 at its relaxed geometry, computed with GGA-PBE.

Uncorrected energy, eV per atom: -4.662

```
data_HoCoH3
_chemical_formula_sum 'Ho2 Co2 H6'
_cell_length_a 3.460
_cell_length_b 3.460
_cell_length_c 8.153
_cell_angle_alpha 90.00
_cell_angle_beta 90.00
_cell_angle_gamma 90.00
_symmetry_space_group_name_H-M 'I 4 m m'
_symmetry_Int_Tables_number 107
_symmetry_space_group_name_Hall 'I 4 -2'
loop_
_atom_site_label
_atom_site_type_symbol
_atom_site_fract_x
_atom_site_fract_y
_atom_site_fract_z
_atom_site_occupancy
Ho1 Ho 0.000 0.000 0.000 1
Co1 Co 0.000 0.000 0.662 1
H1 H 0.000 0.000 0.466 1
H2 H 0.000 0.500 0.200 1
```

***

Crystalline Ho2HfZn at its relaxed geometry, computed with GGA-PBE.

E above lowest polymorph, eV per atom: 0.0000
Uncorrected energy, eV per atom: -5.195

```
data_Ho2HfZn
_chemical_formula_sum 'Ho2 Hf1 Zn1'
_cell_length_a 3.380
_cell_length_b 3.380
_cell_length_c 8.510
_cell_angle_alpha 90.00
_cell_angle_beta 90.00
_cell_angle_gamma 90.00
_symmetry_space_group_name_H-M 'P 4/m m m'
_symmetry_Int_Tables_number 123
_symmetry_space_group_name_Hall '-P 4 2'
loop_
_atom_site_label
_atom_site_type_symbol
_atom_site_fract_x
_atom_site_fract_y
_atom_site_fract_z
_atom_site_occupancy
Ho1 Ho 0.000 0.000 0.231 1
Hf1 Hf 0.500 0.500 0.500 1
Zn1 Zn 0.500 0.500 0.000 1
```

***

Crystalline YBeRh3 at its relaxed geometry, computed with GGA-PBE.

E above lowest polymorph, eV per atom: 2.0742
Uncorrected energy, eV per atom: -4.935

```
data_YBeRh3
_chemical_formula_sum 'Y1 Be1 Rh3'
_cell_length_a 4.866
_cell_length_b 4.866
_cell_length_c 4.866
_cell_angle_alpha 90.00
_cell_angle_beta 90.00
_cell_angle_gamma 90.00
_symmetry_space_group_name_H-M 'P m -3 m'
_symmetry_Int_Tables_number 221
_symmetry_space_group_name_Hall '-P 4 2 3'
loop_
_atom_site_label
_atom_site_type_symbol
_atom_site_fract_x
_atom_site_fract_y
_atom_site_fract_z
_atom_site_occupancy
Y1 Y 0.000 0.000 0.000 1
Be1 Be 0.500 0.500 0.500 1
Rh1 Rh 0.000 0.000 0.500 1
```

***

Crystalline TmMn4Re at its relaxed geometry, computed with GGA-PBE.

Uncorrected energy, eV per atom: -8.831

```
data_TmMn4Re
_chemical_formula_sum 'Tm4 Mn16 Re4'
_cell_length_a 6.900
_cell_length_b 6.900
_cell_length_c 6.900
_cell_angle_alpha 90.00
_cell_angle_beta 90.00
_cell_angle_gamma 90.00
_symmetry_space_group_name_H-M 'F -4 3 m'
_symmetry_Int_Tables_number 216
_symmetry_space_group_name_Hall 'F -4 2 3'
loop_
_atom_site_label
_atom_site_type_symbol
_atom_site_fract_x
_atom_site_fract_y
_atom_site_fract_z
_atom_site_occupancy
Tm1 Tm 0.000 0.000 0.000 1
Mn1 Mn 0.125 0.125 0.625 1
Re1 Re 0.250 0.250 0.250 1
```

***

Crystalline LiBe2Tc at its relaxed geometry, computed with GGA-PBE.

E above lowest polymorph, eV per atom: 0.1153
Uncorrected energy, eV per atom: -4.869

```
data_LiBe2Tc
_chemical_formula_sum 'Li1 Be2 Tc1'
_cell_length_a 2.569
_cell_length_b 3.212
_cell_length_c 5.566
_cell_angle_alpha 90.00
_cell_angle_beta 90.00
_cell_angle_gamma 90.00
_symmetry_space_group_name_H-M 'P m m m'
_symmetry_Int_Tables_number 47
loop_
_symmetry_equiv_pos_as_xyz
'x,y,z'
'-x,-y,-z'
'-x,-y,z'
'x,y,-z'
'x,-y,-z'
'-x,y,z'
'-x,y,-z'
'x,-y,z'
loop_
_atom_site_label
_atom_site_type_symbol
_atom_site_fract_x
_atom_site_fract_y
_atom_site_fract_z
_atom_site_occupancy
Li1 Li 0.000 0.000 0.000 1
Be1 Be 0.500 0.500 0.269 1
Tc1 Tc 0.000 0.000 0.500 1
```

***

Crystalline Tc4Rh3 at its relaxed geometry, computed with GGA-PBE.

E above lowest polymorph, eV per atom: 0.0265
Uncorrected energy, eV per atom: -8.845

```
data_Tc4Rh3
_chemical_formula_sum 'Tc8 Rh6'
_cell_length_a 3.258
_cell_length_b 3.258
_cell_length_c 19.328
_cell_angle_alpha 90.00
_cell_angle_beta 90.00
_cell_angle_gamma 90.00
_symmetry_space_group_name_H-M 'I 4/m m m'
_symmetry_Int_Tables_number 139
_symmetry_space_group_name_Hall '-I 4 2'
loop_
_atom_site_label
_atom_site_type_symbol
_atom_site_fract_x
_atom_site_fract_y
_atom_site_fract_z
_atom_site_occupancy
Tc1 Tc 0.000 0.000 0.071 1
Tc2 Tc 0.000 0.000 0.358 1
Rh1 Rh 0.000 0.000 0.215 1
Rh2 Rh 0.000 0.000 0.500 1
```

***

Crystalline ZnBi3Te at its relaxed geometry, computed with GGA-PBE.

E above lowest polymorph, eV per atom: 0.0000
Uncorrected energy, eV per atom: -2.756
Energy relative to the elements, uncorrected, eV/f.u.: 2.278

```
data_ZnBi3Te
_chemical_formula_sum 'Zn1 Bi3 Te1'
_cell_length_a 5.415
_cell_length_b 5.415
_cell_length_c 5.415
_cell_angle_alpha 90.00
_cell_angle_beta 90.00
_cell_angle_gamma 90.00
_symmetry_space_group_name_H-M 'P m -3 m'
_symmetry_Int_Tables_number 221
_symmetry_space_group_name_Hall '-P 4 2 3'
loop_
_atom_site_label
_atom_site_type_symbol
_atom_site_fract_x
_atom_site_fract_y
_atom_site_fract_z
_atom_site_occupancy
Zn1 Zn 0.000 0.000 0.000 1
Bi1 Bi 0.000 0.000 0.500 1
Te1 Te 0.500 0.500 0.500 1
```

***

Crystalline TaSbPb2 at its relaxed geometry, computed with GGA-PBE.

Uncorrected energy, eV per atom: -5.485
Energy relative to the elements, uncorrected, eV/f.u.: 1.454

```
data_TaSbPb2
_chemical_formula_sum 'Ta2 Sb2 Pb4'
_cell_length_a 3.133
_cell_length_b 5.103
_cell_length_c 13.793
_cell_angle_alpha 90.00
_cell_angle_beta 90.00
_cell_angle_gamma 90.00
_symmetry_space_group_name_H-M 'I m m 2'
_symmetry_Int_Tables_number 44
loop_
_symmetry_equiv_pos_as_xyz
'x,y,z'
'-x,-y,z'
'-x,y,z'
'x,-y,z'
'x+1/2,y+1/2,z+1/2'
'-x+1/2,-y+1/2,z+1/2'
'-x+1/2,y+1/2,z+1/2'
'x+1/2,-y+1/2,z+1/2'
loop_
_atom_site_label
_atom_site_type_symbol
_atom_site_fract_x
_atom_site_fract_y
_atom_site_fract_z
_atom_site_occupancy
Ta1 Ta 0.000 0.000 0.000 1
Sb1 Sb 0.000 0.500 0.320 1
Pb1 Pb 0.000 0.000 0.511 1
Pb2 Pb 0.000 0.500 0.701 1
```

***

Crystalline CdFeOs at its relaxed geometry, computed with GGA-PBE.

E above lowest polymorph, eV per atom: 0.0000
Uncorrected energy, eV per atom: -6.547

```
data_CdFeOs
_chemical_formula_sum 'Cd2 Fe2 Os2'
_cell_length_a 2.799
_cell_length_b 2.799
_cell_length_c 11.609
_cell_angle_alpha 90.00
_cell_angle_beta 90.00
_cell_angle_gamma 90.00
_symmetry_space_group_name_H-M 'I 4 m m'
_symmetry_Int_Tables_number 107
_symmetry_space_group_name_Hall 'I 4 -2'
loop_
_atom_site_label
_atom_site_type_symbol
_atom_site_fract_x
_atom_site_fract_y
_atom_site_fract_z
_atom_site_occupancy
Cd1 Cd 0.000 0.000 0.000 1
Fe1 Fe 0.000 0.000 0.681 1
Os1 Os 0.000 0.000 0.306 1
```

***

Crystalline AcSm8Y3 at its relaxed geometry, computed with GGA-PBE.

Uncorrected energy, eV per atom: -4.780

```
data_AcSm8Y3
_chemical_formula_sum 'Ac2 Sm16 Y6'
_cell_length_a 6.504
_cell_length_b 11.644
_cell_length_c 11.745
_cell_angle_alpha 90.00
_cell_angle_beta 90.00
_cell_angle_gamma 90.00
_symmetry_space_group_name_H-M 'I m m m'
_symmetry_Int_Tables_number 71
_symmetry_space_group_name_Hall '-I 2 2'
loop_
_atom_site_label
_atom_site_type_symbol
_atom_site_fract_x
_atom_site_fract_y
_atom_site_fract_z
_atom_site_occupancy
Ac1 Ac 0.000 0.000 0.000 1
Sm1 Sm 0.000 0.253 0.173 1
Sm2 Sm 0.237 0.000 0.269 1
Y1 Y 0.000 0.226 0.500 1
Y2 Y 0.000 0.500 0.000 1
```

***

Crystalline Ce3RuAu at its relaxed geometry, computed with GGA-PBE.

E above lowest polymorph, eV per atom: 0.0000
Uncorrected energy, eV per atom: -6.493

```
data_Ce3RuAu
_chemical_formula_sum 'Ce12 Ru4 Au4'
_cell_length_a 10.660
_cell_length_b 4.612
_cell_length_c 10.193
_cell_angle_alpha 90.00
_cell_angle_beta 105.44
_cell_angle_gamma 90.00
_symmetry_space_group_name_H-M 'C 1 2/m 1'
_symmetry_Int_Tables_number 12
loop_
_symmetry_equiv_pos_as_xyz
'x,y,z'
'-x,-y,-z'
'-x,y,-z'
'x,-y,z'
'x+1/2,y+1/2,z'
'-x+1/2,-y+1/2,-z'
'-x+1/2,y+1/2,-z'
'x+1/2,-y+1/2,z'
loop_
_atom_site_label
_atom_site_type_symbol
_atom_site_fract_x
_atom_site_fract_y
_atom_site_fract_z
_atom_site_occupancy
Ce1 Ce 0.062 0.000 0.382 1
Ce2 Ce 0.118 0.500 0.665 1
Ce3 Ce 0.143 0.500 0.122 1
Ru1 Ru 0.222 0.500 0.382 1
Au1 Au 0.081 0.000 0.908 1
```

***

Crystalline LiCaTl2 at its relaxed geometry, computed with GGA-PBE.

Uncorrected energy, eV per atom: -2.402

```
data_LiCaTl2
_chemical_formula_sum 'Li2 Ca2 Tl4'
_cell_length_a 11.156
_cell_length_b 3.812
_cell_length_c 5.357
_cell_angle_alpha 90.00
_cell_angle_beta 108.50
_cell_angle_gamma 90.00
_symmetry_space_group_name_H-M 'C 1 m 1'
_symmetry_Int_Tables_number 8
loop_
_symmetry_equiv_pos_as_xyz
'x,y,z'
'x,-y,z'
'x+1/2,y+1/2,z'
'x+1/2,-y+1/2,z'
loop_
_atom_site_label
_atom_site_type_symbol
_atom_site_fract_x
_atom_site_fract_y
_atom_site_fract_z
_atom_site_occupancy
Li1 Li 0.000 0.000 0.000 1
Ca1 Ca 0.271 0.500 0.341 1
Tl1 Tl 0.023 0.500 0.540 1
Tl2 Tl 0.270 0.000 0.852 1
```

***

Number 1: DOS at the Fermi energy 3.99 states/eV/cell. Number 2: DOS at the Fermi energy 4.24 states/eV/cell. Number 3: DOS at the Fermi energy 6.88 states/eV/cell. Number 4: DOS at the Fermi energy 27.83 states/eV/cell. Number 5: DOS at the Fermi energy 1.68 states/eV/cell. Number 6: DOS at the Fermi energy 22.84 states/eV/cell. Number 7: DOS at the Fermi energy 5.12 states/eV/cell. Number 8: DOS at the Fermi energy 6.28 states/eV/cell. Number 9: DOS at the Fermi energy 5.46 states/eV/cell. Number 10: DOS at the Fermi energy 34.07 states/eV/cell. Number 11: DOS at the Fermi energy 41.41 states/eV/cell. Number 12: DOS at the Fermi energy 2.45 states/eV/cell.